First-principles (PBE-GGA) data for a geometry-optimized AuSeSBr2 structure, as listed in Alexandria.

Properties
ΔE_f (raw) ... 0.639 eV per atom
Distance to the lowest polymorph of the same formula ... 0 meV/atom
DOS at the Fermi energy ... 2.71 states/eV/f.u.
Total DFT energy (no corrections) ... -2.21 eV/atom
Magnetization ... 0.00 μB per formula unit

POSCAR file:
```
AuSeSBr2
1.0
4.9177 0.0000 0.0000
0.0000 4.9177 0.0000
0.0000 0.0000 5.2180
Br Se S Au
2 1 1 1
direct
0.5000 0.0000 0.0000
0.0000 0.5000 0.0000
0.0000 0.0000 0.5000
0.0000 0.0000 0.0000
0.5000 0.5000 0.5000
```